(1)
A geometry-optimized Nd2DySnC structure. Source: Alexandria via LeMat-Bulk, functional GGA-PBE.

```
data_Nd2DySnC
_symmetry_space_group_name_H-M 'P 4/m m m'
_symmetry_Int_Tables_number 123
_symmetry_space_group_name_Hall '-P 4 2'
_cell_length_a 5.1091
_cell_length_b 5.1091
_cell_length_c 4.9089
_cell_angle_alpha 90.00
_cell_angle_beta 90.00
_cell_angle_gamma 90.00
loop_
_atom_site_label
_atom_site_fract_x
_atom_site_fract_y
_atom_site_fract_z
Nd1 0.0000 0.5000 0.0000
Dy1 0.0000 0.0000 0.5000
Sn1 0.5000 0.5000 0.5000
C1 0.0000 0.0000 0.0000
```

Output
Density in Mg/m³: 7.5
Magnetic moment in μB per cell: 0.00
Calculated formation energy in eV/f.u.: -2.57

(2)
A geometry-optimized ZrTlCu2Se4 structure. Source: Alexandria via LeMat-Bulk, functional GGA-PBE.

```
data_ZrTlCu2Se4
_symmetry_space_group_name_H-M 'I 2 2 2'
_symmetry_Int_Tables_number 23
_symmetry_space_group_name_Hall 'I 2 2'
_cell_length_a 6.4278
_cell_length_b 7.5221
_cell_length_c 8.7318
_cell_angle_alpha 90.00
_cell_angle_beta 90.00
_cell_angle_gamma 90.00
loop_
_atom_site_label
_atom_site_fract_x
_atom_site_fract_y
_atom_site_fract_z
Zr1 0.0000 0.0000 0.0000
Tl1 0.0000 0.0000 0.5000
Cu1 0.0000 0.5000 0.3540
Se1 0.2256 0.2021 0.8311
```

Output
Density in Mg/m³: 5.8
Magnetic moment in μB per cell: 0.00
Energy relative to the elements, uncorrected in eV/atom: -0.477

(3)
A geometry-optimized TlTc2Te structure. Source: Alexandria via LeMat-Bulk, functional GGA-PBE.

```
data_TlTc2Te
_symmetry_space_group_name_H-M 'R 3 m'
_symmetry_Int_Tables_number 160
_symmetry_space_group_name_Hall 'R 3 -2"'
_cell_length_a 3.0905
_cell_length_b 3.0905
_cell_length_c 30.9911
_cell_angle_alpha 90.00
_cell_angle_beta 90.00
_cell_angle_gamma 120.00
loop_
_atom_site_label
_atom_site_fract_x
_atom_site_fract_y
_atom_site_fract_z
Tl1 0.0000 0.0000 0.0000
Tc1 0.0000 0.0000 0.4739
Tc2 0.0000 0.0000 0.7483
Te1 0.0000 0.0000 0.2146
```

Output
Energy relative to the lowest polymorph listed for this composition in meV per atom: 154
Density in Mg/m³: 10.3
Magnetic moment in μB per cell: 0.00
Energy relative to the elements, uncorrected in eV/atom: 0.477

(4)
A geometry-optimized Ca2CuPt3 structure. Source: Alexandria via LeMat-Bulk, functional GGA-PBE.

```
data_Ca2CuPt3
_symmetry_space_group_name_H-M 'P 63/m m c'
_symmetry_Int_Tables_number 194
_symmetry_space_group_name_Hall '-P 6c 2c'
_cell_length_a 5.5198
_cell_length_b 5.5198
_cell_length_c 8.4694
_cell_angle_alpha 90.00
_cell_angle_beta 90.00
_cell_angle_gamma 120.00
loop_
_atom_site_label
_atom_site_fract_x
_atom_site_fract_y
_atom_site_fract_z
Ca1 0.3333 0.6667 0.0641
Cu1 0.0000 0.0000 0.0000
Pt1 0.1676 0.3351 0.7500
```

Output
Density in Mg/m³: 10.8
Magnetic moment in μB per cell: 0.00
Calculated formation energy in eV/f.u.: -4.90

(5)
A geometry-optimized CrCd2W structure. Source: Alexandria via LeMat-Bulk, functional GGA-PBE.

```
data_CrCd2W
_symmetry_space_group_name_H-M 'P 4 m m'
_symmetry_Int_Tables_number 99
_symmetry_space_group_name_Hall 'P 4 -2'
_cell_length_a 2.8637
_cell_length_b 2.8637
_cell_length_c 8.7637
_cell_angle_alpha 90.00
_cell_angle_beta 90.00
_cell_angle_gamma 90.00
loop_
_atom_site_label
_atom_site_fract_x
_atom_site_fract_y
_atom_site_fract_z
Cr1 0.0000 0.0000 0.0000
Cd1 0.0000 0.0000 0.4668
Cd2 0.5000 0.5000 0.7519
W1 0.5000 0.5000 0.2076
```

Output
Energy relative to the lowest polymorph listed for this composition in meV per atom: 81
Density in Mg/m³: 10.6
Magnetic moment in μB per cell: 3.17
Calculated formation energy in eV/f.u.: 1.80

(6)
A geometry-optimized SrHgCl structure. Source: Alexandria via LeMat-Bulk, functional GGA-PBE.

```
data_SrHgCl
_symmetry_space_group_name_H-M 'P 4/n m m'
_symmetry_Int_Tables_number 129
_cell_length_a 3.9841
_cell_length_b 3.9841
_cell_length_c 10.4312
_cell_angle_alpha 90.00
_cell_angle_beta 90.00
_cell_angle_gamma 90.00
loop_
_symmetry_equiv_pos_as_xyz
'x,y,z'
'-x,-y,-z'
'-y+1/2,x,z'
'y+1/2,-x,-z'
'-x+1/2,-y+1/2,z'
'x+1/2,y+1/2,-z'
'y,-x+1/2,z'
'-y,x+1/2,-z'
'x+1/2,-y,-z'
'-x+1/2,y,z'
'-y,-x,-z'
'y,x,z'
'-x,y+1/2,-z'
'x,-y+1/2,z'
'y+1/2,x+1/2,-z'
'-y+1/2,-x+1/2,z'
loop_
_atom_site_label
_atom_site_fract_x
_atom_site_fract_y
_atom_site_fract_z
Sr1 0.2500 0.2500 0.2217
Hg1 0.2500 0.2500 0.5705
Cl1 0.2500 0.2500 0.9022
```

Output
Energy relative to the lowest polymorph listed for this composition in meV per atom: 46
Density in Mg/m³: 6.5
Magnetic moment in μB per cell: 0.00
Energy relative to the elements, uncorrected in eV/atom: -1.326

(7)
A geometry-optimized Tb5Pm2NdDy structure. Source: Alexandria via LeMat-Bulk, functional GGA-PBE.

```
data_Tb5Pm2NdDy
_symmetry_space_group_name_H-M 'I 4/m c m'
_symmetry_Int_Tables_number 140
_symmetry_space_group_name_Hall '-I 4 2c'
_cell_length_a 8.7545
_cell_length_b 8.7545
_cell_length_c 15.5529
_cell_angle_alpha 90.00
_cell_angle_beta 90.00
_cell_angle_gamma 90.00
loop_
_atom_site_label
_atom_site_fract_x
_atom_site_fract_y
_atom_site_fract_z
Tb1 0.0000 0.0000 0.0000
Tb2 0.2095 0.2905 0.1374
Pm1 0.1167 0.3833 0.5000
Nd1 0.0000 0.0000 0.2500
Dy1 0.0000 0.5000 0.2500
```

Output
Density in Mg/m³: 7.8
Magnetic moment in μB per cell: 0.00
Calculated formation energy in eV/f.u.: 2.41

(8)
A geometry-optimized MgSc3 structure. Source: Alexandria via LeMat-Bulk, functional GGA-PBE.

```
data_MgSc3
_symmetry_space_group_name_H-M 'P m m n'
_symmetry_Int_Tables_number 59
_cell_length_a 5.2413
_cell_length_b 6.4959
_cell_length_c 5.6567
_cell_angle_alpha 90.00
_cell_angle_beta 90.00
_cell_angle_gamma 90.00
loop_
_symmetry_equiv_pos_as_xyz
'x,y,z'
'-x,-y,-z'
'-x+1/2,-y+1/2,z'
'x+1/2,y+1/2,-z'
'x+1/2,-y,-z'
'-x+1/2,y,z'
'-x,y+1/2,-z'
'x,-y+1/2,z'
loop_
_atom_site_label
_atom_site_fract_x
_atom_site_fract_y
_atom_site_fract_z
Mg1 0.2500 0.2500 0.1701
Sc1 0.2500 0.5034 0.6637
Sc2 0.2500 0.7500 0.1559
```

Output
Energy relative to the lowest polymorph listed for this composition in meV per atom: 35
Density in Mg/m³: 2.7
Magnetic moment in μB per cell: 3.40
Calculated formation energy in eV/f.u.: 0.10

(9)
A geometry-optimized Rb3PSe3 structure. Source: Alexandria via LeMat-Bulk, functional GGA-PBE.

```
data_Rb3PSe3
_symmetry_space_group_name_H-M 'C m c m'
_symmetry_Int_Tables_number 63
_symmetry_space_group_name_Hall '-C 2c 2'
_cell_length_a 10.3019
_cell_length_b 17.7640
_cell_length_c 6.8614
_cell_angle_alpha 90.00
_cell_angle_beta 90.00
_cell_angle_gamma 90.00
loop_
_atom_site_label
_atom_site_fract_x
_atom_site_fract_y
_atom_site_fract_z
Rb1 0.0000 0.1868 0.2500
Rb2 0.2184 0.4064 0.2500
P1 0.0000 0.3330 0.7500
Se1 0.0000 0.2012 0.7500
Se2 0.1967 0.3990 0.7500
```

Output
Density in Mg/m³: 2.8
Magnetic moment in μB per cell: 7.52
Energy relative to the elements, uncorrected in eV/atom: -0.637

(10)
A geometry-optimized Pm2Y4Sc3 structure. Source: Alexandria via LeMat-Bulk, functional GGA-PBE.

```
data_Pm2Y4Sc3
_symmetry_space_group_name_H-M 'C 1 2/c 1'
_symmetry_Int_Tables_number 15
_symmetry_space_group_name_Hall '-C 2yc'
_cell_length_a 15.6993
_cell_length_b 11.3923
_cell_length_c 6.0569
_cell_angle_alpha 90.00
_cell_angle_beta 95.36
_cell_angle_gamma 90.00
loop_
_atom_site_label
_atom_site_fract_x
_atom_site_fract_y
_atom_site_fract_z
Pm1 0.1170 0.1456 0.3237
Y1 0.0502 0.3611 0.0097
Y2 0.2152 0.1365 0.8439
Sc1 0.0000 0.1002 0.7500
Sc2 0.1664 0.3992 0.5849
```

Output
Density in Mg/m³: 4.8
Magnetic moment in μB per cell: 0.00
Calculated formation energy in eV/f.u.: 0.99

(11)
A geometry-optimized SrCa3C structure. Source: Alexandria via LeMat-Bulk, functional GGA-PBE.

```
data_SrCa3C
_symmetry_space_group_name_H-M 'P m -3 m'
_symmetry_Int_Tables_number 221
_symmetry_space_group_name_Hall '-P 4 2 3'
_cell_length_a 5.3743
_cell_length_b 5.3743
_cell_length_c 5.3743
_cell_angle_alpha 90.00
_cell_angle_beta 90.00
_cell_angle_gamma 90.00
loop_
_atom_site_label
_atom_site_fract_x
_atom_site_fract_y
_atom_site_fract_z
Sr1 0.0000 0.0000 0.0000
Ca1 0.0000 0.5000 0.5000
C1 0.5000 0.5000 0.5000
```

Output
Energy relative to the lowest polymorph listed for this composition in meV per atom: 0
Density in Mg/m³: 2.4
Magnetic moment in μB per cell: 1.03
Calculated formation energy in eV/f.u.: 1.46

(12)
A geometry-optimized Ho2ThSc structure. Source: Alexandria via LeMat-Bulk, functional GGA-PBE.

```
data_Ho2ThSc
_symmetry_space_group_name_H-M 'F m -3 m'
_symmetry_Int_Tables_number 225
_symmetry_space_group_name_Hall '-F 4 2 3'
_cell_length_a 7.8366
_cell_length_b 7.8366
_cell_length_c 7.8366
_cell_angle_alpha 90.00
_cell_angle_beta 90.00
_cell_angle_gamma 90.00
loop_
_atom_site_label
_atom_site_fract_x
_atom_site_fract_y
_atom_site_fract_z
Ho1 0.2500 0.2500 0.2500
Th1 0.0000 0.0000 0.0000
Sc1 0.0000 0.0000 0.5000
```

Output
Energy relative to the lowest polymorph listed for this composition in meV per atom: 161
Density in Mg/m³: 8.4
Magnetic moment in μB per cell: 0.05
Calculated formation energy in eV/f.u.: 0.76

(13)
A geometry-optimized CoSn3Br structure. Source: Alexandria via LeMat-Bulk, functional GGA-PBE.

```
data_CoSn3Br
_symmetry_space_group_name_H-M 'P m -3 m'
_symmetry_Int_Tables_number 221
_symmetry_space_group_name_Hall '-P 4 2 3'
_cell_length_a 4.9923
_cell_length_b 4.9923
_cell_length_c 4.9923
_cell_angle_alpha 90.00
_cell_angle_beta 90.00
_cell_angle_gamma 90.00
loop_
_atom_site_label
_atom_site_fract_x
_atom_site_fract_y
_atom_site_fract_z
Co1 0.0000 0.0000 0.0000
Sn1 0.0000 0.0000 0.5000
Br1 0.5000 0.5000 0.5000
```

Output
Energy relative to the lowest polymorph listed for this composition in meV per atom: 0
Density in Mg/m³: 6.6
Magnetic moment in μB per cell: 0.00
Energy relative to the elements, uncorrected in eV/atom: -0.099

(14)
A geometry-optimized La5Se5S2 structure. Source: Alexandria via LeMat-Bulk, functional GGA-PBE.

```
data_La5Se5S2
_symmetry_space_group_name_H-M 'C 1 2/m 1'
_symmetry_Int_Tables_number 12
_symmetry_space_group_name_Hall '-C 2y'
_cell_length_a 14.1039
_cell_length_b 4.1939
_cell_length_c 12.3883
_cell_angle_alpha 90.00
_cell_angle_beta 106.18
_cell_angle_gamma 90.00
loop_
_atom_site_label
_atom_site_fract_x
_atom_site_fract_y
_atom_site_fract_z
La1 0.0000 0.0000 0.0000
La2 0.1098 0.0000 0.4136
La3 0.1894 0.5000 0.8064
Se1 0.0000 0.5000 0.5000
Se2 0.1609 0.5000 0.0520
Se3 0.2415 0.5000 0.3511
S1 0.0446 0.0000 0.7891
```

Output
Density in Mg/m³: 5.4
Magnetic moment in μB per cell: 0.00
Energy relative to the elements, uncorrected in eV/atom: -2.076

(15)
A geometry-optimized TiAl3Os4 structure. Source: Alexandria via LeMat-Bulk, functional GGA-PBE.

```
data_TiAl3Os4
_symmetry_space_group_name_H-M 'P 4/m m m'
_symmetry_Int_Tables_number 123
_symmetry_space_group_name_Hall '-P 4 2'
_cell_length_a 3.0503
_cell_length_b 3.0503
_cell_length_c 12.0536
_cell_angle_alpha 90.00
_cell_angle_beta 90.00
_cell_angle_gamma 90.00
loop_
_atom_site_label
_atom_site_fract_x
_atom_site_fract_y
_atom_site_fract_z
Ti1 0.0000 0.0000 0.0000
Al1 0.0000 0.0000 0.2518
Al2 0.0000 0.0000 0.5000
Os1 0.5000 0.5000 0.1273
Os2 0.5000 0.5000 0.3751
```

Output
Density in Mg/m³: 13.2
Magnetic moment in μB per cell: 0.00
Calculated formation energy in eV/f.u.: -3.76

(16)
A geometry-optimized Ca8SiPd2 structure. Source: Alexandria via LeMat-Bulk, functional GGA-PBE.

```
data_Ca8SiPd2
_symmetry_space_group_name_H-M 'C 1 m 1'
_symmetry_Int_Tables_number 8
_symmetry_space_group_name_Hall 'C -2y'
_cell_length_a 8.8823
_cell_length_b 13.2347
_cell_length_c 6.1449
_cell_angle_alpha 90.00
_cell_angle_beta 107.76
_cell_angle_gamma 90.00
loop_
_atom_site_label
_atom_site_fract_x
_atom_site_fract_y
_atom_site_fract_z
Ca1 0.0000 0.0000 0.0000
Ca2 0.0638 0.3688 0.7659
Ca3 0.1540 0.1330 0.5733
Ca4 0.2204 0.5000 0.3790
Ca5 0.3527 0.2184 0.1813
Si1 0.3575 0.0000 0.3543
Pd1 0.3669 0.3140 0.7002
```

Output
Density in Mg/m³: 2.7
Magnetic moment in μB per cell: 0.00
Energy relative to the elements, uncorrected in eV/atom: -0.345

(17)
A geometry-optimized Tl5CuCl6 structure. Source: Alexandria via LeMat-Bulk, functional GGA-PBE.

```
data_Tl5CuCl6
_symmetry_space_group_name_H-M 'C 1 2/m 1'
_symmetry_Int_Tables_number 12
_symmetry_space_group_name_Hall '-C 2y'
_cell_length_a 7.7624
_cell_length_b 13.1028
_cell_length_c 8.1936
_cell_angle_alpha 90.00
_cell_angle_beta 104.53
_cell_angle_gamma 90.00
loop_
_atom_site_label
_atom_site_fract_x
_atom_site_fract_y
_atom_site_fract_z
Tl1 0.0000 0.0000 0.0000
Tl2 0.0000 0.1894 0.5000
Tl3 0.0000 0.3495 0.0000
Cu1 0.0000 0.5000 0.5000
Cl1 0.2005 0.5000 0.3636
Cl2 0.2114 0.1816 0.2139
```

Output
Density in Mg/m³: 5.3
Magnetic moment in μB per cell: 0.33
Energy relative to the elements, uncorrected in eV/atom: -0.886

(18)
A geometry-optimized AlTcIr2 structure. Source: Alexandria via LeMat-Bulk, functional GGA-PBE.

```
data_AlTcIr2
_symmetry_space_group_name_H-M 'P 4/m m m'
_symmetry_Int_Tables_number 123
_symmetry_space_group_name_Hall '-P 4 2'
_cell_length_a 2.7975
_cell_length_b 2.7975
_cell_length_c 7.2528
_cell_angle_alpha 90.00
_cell_angle_beta 90.00
_cell_angle_gamma 90.00
loop_
_atom_site_label
_atom_site_fract_x
_atom_site_fract_y
_atom_site_fract_z
Al1 0.0000 0.0000 0.0000
Tc1 0.0000 0.0000 0.5000
Ir1 0.5000 0.5000 0.2410
```

Output
Density in Mg/m³: 14.9
Magnetic moment in μB per cell: 0.00
Calculated formation energy in eV/f.u.: -2.00

(19)
A geometry-optimized Mg2CrRh structure. Source: Alexandria via LeMat-Bulk, functional GGA-PBE.

```
data_Mg2CrRh
_symmetry_space_group_name_H-M 'P 4 m m'
_symmetry_Int_Tables_number 99
_symmetry_space_group_name_Hall 'P 4 -2'
_cell_length_a 2.9623
_cell_length_b 2.9623
_cell_length_c 7.5258
_cell_angle_alpha 90.00
_cell_angle_beta 90.00
_cell_angle_gamma 90.00
loop_
_atom_site_label
_atom_site_fract_x
_atom_site_fract_y
_atom_site_fract_z
Mg1 0.0000 0.0000 0.0000
Mg2 0.5000 0.5000 0.3285
Cr1 0.5000 0.5000 0.7541
Rh1 0.0000 0.0000 0.5673
```

Output
Energy relative to the lowest polymorph listed for this composition in meV per atom: 39
Density in Mg/m³: 5.1
Magnetic moment in μB per cell: 1.06
Calculated formation energy in eV/f.u.: -0.07

(20)
A geometry-optimized TcRhI3 structure. Source: Alexandria via LeMat-Bulk, functional GGA-PBE.

```
data_TcRhI3
_symmetry_space_group_name_H-M 'P m -3 m'
_symmetry_Int_Tables_number 221
_symmetry_space_group_name_Hall '-P 4 2 3'
_cell_length_a 5.4781
_cell_length_b 5.4781
_cell_length_c 5.4781
_cell_angle_alpha 90.00
_cell_angle_beta 90.00
_cell_angle_gamma 90.00
loop_
_atom_site_label
_atom_site_fract_x
_atom_site_fract_y
_atom_site_fract_z
Tc1 0.0000 0.0000 0.0000
Rh1 0.5000 0.5000 0.5000
I1 0.0000 0.0000 0.5000
```

Output
Energy relative to the lowest polymorph listed for this composition in meV per atom: 216
Density in Mg/m³: 5.9
Magnetic moment in μB per cell: 2.97
Energy relative to the elements, uncorrected in eV/atom: 1.106